This record from Alexandria describes a relaxed structure of Ac5Zn2IrN. The functional is PBE-GGA.

Values from the calculation:
Uncorrected energy in hartree per atom: -0.1831

Cell: 4.2499 19.2206 14.3525 Å, 90.00 90.00 90.00°
Space group Cmc2_1 (No. 36)
One atom of each set of equivalent atoms:
Ac1 0.0000 0.0075 0.0000 x4
Ac2 0.0000 0.1462 0.2229 x4
Ac3 0.0000 0.1811 0.6013 x4
Ac4 0.0000 0.2157 0.8866 x4
Ac5 0.0000 0.4568 0.2335 x4
Zn1 0.0000 0.3649 0.5438 x4
Zn2 0.0000 0.3915 0.9000 x4
Ir1 0.0000 0.2960 0.2448 x4
N1 0.0000 0.0521 0.6439 x4

This record from Alexandria describes a relaxed structure of PtBrOF2. The functional is PBE-GGA.

Values from the calculation:
Uncorrected energy in hartree per atom: -0.0981

Cell: 4.7438 4.7438 3.6689 Å, 90.00 90.00 90.00°
Space group P4/mmm (No. 123)
One atom of each set of equivalent atoms:
Pt1 0.0000 0.0000 0.0000 x1
Br1 0.5000 0.5000 0.5000 x1
O1 0.5000 0.5000 0.0000 x1
F1 0.0000 0.5000 0.5000 x2

This record from Alexandria describes a relaxed structure of NdZn5Cu2. The functional is PBE-GGA.

Values from the calculation:
Calculated formation energy in eV/atom: -0.212
Uncorrected energy in hartree per atom: -0.0966

Cell: 3.9599 7.1910 9.5578 Å, 90.00 90.00 90.00°
Space group Immm (No. 71)
One atom of each set of equivalent atoms:
Nd1 0.0000 0.0000 0.0000 x2
Zn1 0.0000 0.1872 0.3532 x8
Zn2 0.0000 0.5000 0.0000 x2
Cu1 0.0000 0.5000 0.2529 x4

This record from Alexandria describes a relaxed structure of LaRe3Sn. The functional is PBE-GGA.

Values from the calculation:
Calculated formation energy in eV/atom: 1.925
Uncorrected energy in hartree per atom: -0.2694

Cell: 4.9326 4.9326 4.9326 Å, 90.00 90.00 90.00°
Space group Pm-3m (No. 221)
One atom of each set of equivalent atoms:
La1 0.0000 0.0000 0.0000 x1
Re1 0.0000 0.5000 0.5000 x3
Sn1 0.5000 0.5000 0.5000 x1

This record from Alexandria describes a relaxed structure of MgTa2Co. The functional is PBE-GGA.

Values from the calculation:
Calculated formation energy in eV/atom: 0.066
Uncorrected energy in hartree per atom: -0.2953

Cell: 2.9038 2.9038 7.9226 Å, 90.00 90.00 90.00°
Space group P4mm (No. 99)
One atom of each set of equivalent atoms:
Mg1 0.0000 0.0000 0.0000 x1
Ta1 0.0000 0.0000 0.5859 x1
Ta2 0.5000 0.5000 0.3039 x1
Co1 0.5000 0.5000 0.7748 x1

This record from Alexandria describes a relaxed structure of CsBaNpCl6. The functional is PBE-GGA.

Values from the calculation:
Uncorrected energy in hartree per atom: -0.1851

Cell: 7.8409 7.8409 14.3019 Å, 90.00 90.00 120.00°
Space group P-31c (No. 163)
One atom of each set of equivalent atoms:
Cs1 0.0000 0.0000 0.0000 x2
Ba1 0.3333 0.6667 0.2500 x2
Np1 0.3333 0.6667 0.7500 x2
Cl1 0.0329 0.3887 0.6419 x12